DyTaMnSi2, relaxed, DFT GGA-PBE; Fermi-level density of states = 2.92 states/eV/cell; energy relative to the elements, uncorrected = -551 meV/atom
1.0
3.923 0.000 0.000
0.000 3.923 0.000
-1.961 -1.961 5.599
Dy Ta Mn Si
1 1 1 2
Direct
0.000 0.000 0.000
0.250 0.750 0.500
0.750 0.250 0.500
0.607 0.607 0.214
0.393 0.393 0.786